A plane-wave DFT calculation with GGA-PBE was carried out for a geometry-optimized Fe2NiRu structure.

The structure in extended XYZ format:
```
4
Lattice="4.126 0.000 0.000 2.063 3.574 0.000 2.063 1.191 3.369" Properties=species:S:1:pos:R:3 pbc="T T T"
Ru 6.190 3.574 2.527
Fe 2.063 1.191 0.842
Fe 0.000 0.000 0.000
Ni 4.126 2.382 1.685
```

Theoretical density, g/cm3: 9.07
Formation energy, eV per formula unit: 0.83

=====

A plane-wave DFT calculation with GGA-PBE was carried out for a geometry-optimized Mg2ScMn structure.

The structure in extended XYZ format:
```
4
Lattice="4.882 0.000 0.000 0.000 3.014 -0.024 0.000 1.245 5.503" Properties=species:S:1:pos:R:3 pbc="T T T"
Mg 0.000 1.927 2.654
Mg 0.000 0.202 0.086
Sc 2.441 3.194 4.109
Mn 2.441 1.065 1.370
```

Energy above the lowest structure with this stoichiometry, meV/atom: 147
Theoretical density, g/cm3: 3.04
Formation energy, eV per formula unit: 0.74

=====

A plane-wave DFT calculation with GGA-PBE was carried out for a geometry-optimized Sr2NbSiHg structure.

The structure in extended XYZ format:
```
5
Lattice="6.000 0.000 0.000 0.000 4.925 0.000 0.000 0.000 6.000" Properties=species:S:1:pos:R:3 pbc="T T T"
Nb 0.000 2.462 0.000
Si 0.000 0.000 0.000
Hg 3.000 2.462 3.000
Sr 3.000 0.000 0.000
Sr 0.000 0.000 3.000
```

Formation energy from raw total energies, meV/atom: 259
Theoretical density, g/cm3: 4.65

=====

A plane-wave DFT calculation with GGA-PBE was carried out for a geometry-optimized Fe3Br structure.

The structure in extended XYZ format:
```
4
Lattice="-2.259 0.140 3.747 -2.931 -1.327 -2.968 0.753 -2.924 0.564" Properties=species:S:1:pos:R:3 pbc="T T T"
Fe -2.595 -0.593 0.389
Fe -0.753 -1.392 2.155
Fe -1.089 -2.126 -1.202
Br 0.000 0.000 0.000
```

Formation energy from raw total energies, meV/atom: 670
Energy above the lowest structure with this stoichiometry, meV/atom: 287
Theoretical density, g/cm3: 7.20

=====

A plane-wave DFT calculation with GGA-PBE was carried out for a geometry-optimized FeP2Br structure.

The structure in extended XYZ format:
```
4
Lattice="-0.718 3.801 1.279 -1.684 3.253 -1.783 -7.111 0.152 2.217" Properties=species:S:1:pos:R:3 pbc="T T T"
P -2.760 6.562 -0.304
P -8.167 5.579 1.579
Br -4.292 4.287 0.587
Fe -1.451 1.436 0.201
```

Formation energy from raw total energies, meV/atom: -36
Energy above the lowest structure with this stoichiometry, meV/atom: 56
Theoretical density, g/cm3: 3.81

=====

A plane-wave DFT calculation with GGA-PBE was carried out for a geometry-optimized MgPbNF2 structure.

The structure in extended XYZ format:
```
5
Lattice="-0.847 1.968 3.126 2.626 -1.934 1.930 3.229 3.229 -1.158" Properties=species:S:1:pos:R:3 pbc="T T T"
F -0.424 0.984 1.563
F 1.313 -0.967 0.965
N 1.615 1.614 -0.579
Mg 0.000 0.000 0.000
Pb 2.504 1.631 1.949
```

Formation energy from raw total energies, meV/atom: -1515
Energy above the lowest structure with this stoichiometry, meV/atom: 0
Theoretical density, g/cm3: 6.96

=====

The following calculated total energy values (in eV/atom) correspond, in order, to the records above: -7.7885; -4.4868; -3.5723; -6.0951; -5.2753; -4.9894.